DFT (PBE) results for a relaxed structure of DyZrGa2Ni4.

a b c (Å): 4.136 4.136 8.437
angles (deg): 90.00 90.00 120.00
Element x y z (fractional)
1 Dy 0.333 0.667 0.000
2 Ga 0.667 0.333 0.260
3 Ga 0.667 0.333 0.740
4 Ni 0.000 0.000 0.186
5 Ni 0.333 0.667 0.341
6 Ni 0.333 0.667 0.659
7 Ni 0.000 0.000 0.814
8 Zr 0.000 0.000 0.500

Values from the calculation:
Volume = 124.98 Å³ per cell
Energy = -5.75 eV/atom
Density = 8.34 g cm⁻³